1.
A plane-wave DFT calculation with PBEsol was carried out for a geometry-optimized Ni3Au structure.

POSCAR file:
```
Ni3Au
1.0
2.661 0.000 0.000
0.000 2.661 0.000
0.000 0.000 6.831
Ni Au
3 1
Direct
0.000 0.000 0.000
0.500 0.500 0.220
0.500 0.500 0.780
0.000 0.000 0.500
```

E_tot in Ry per atom: -0.404
ΔH_f (0 K) in kJ/mol of formula units: 37
Space-group type: P4/mmm
Total moment in μB/cell: 1.65


2.
A plane-wave DFT calculation with PBEsol was carried out for a geometry-optimized Ni7Au structure.

POSCAR file:
```
Ni7Au
1.0
0.000 3.560 3.560
3.560 0.000 3.560
3.560 3.560 0.000
Ni Au
7 1
Direct
0.000 0.000 0.000
0.000 0.000 0.500
0.000 0.500 0.000
0.000 0.500 0.500
0.500 0.000 0.000
0.500 0.000 0.500
0.500 0.500 0.000
0.500 0.500 0.500
```

E_tot in Ry per atom: -0.426
ΔH_f (0 K) in kJ/mol of formula units: 63
Space-group type: Fm-3m
Total moment in μB/cell: 4.15


3.
A plane-wave DFT calculation with PBEsol was carried out for a geometry-optimized NiAu structure.

POSCAR file:
```
NiAu
1.0
3.898 0.000 0.000
-1.949 3.376 0.000
0.000 0.000 4.660
Ni Au
2 2
Direct
0.000 0.000 0.000
0.000 0.000 0.500
0.333 0.667 0.250
0.667 0.333 0.750
```

E_tot in Ry per atom: -0.342
ΔH_f (0 K) in kJ/mol of formula units: 76
Space-group type: P6_3/mmc
Total moment in μB/cell: 1.31


4.
A plane-wave DFT calculation with PBEsol was carried out for a geometry-optimized NiAu5 structure.

POSCAR file:
```
NiAu5
1.0
9.542 0.000 0.000
0.000 2.902 0.000
-2.908 0.000 6.900
Ni Au
2 10
Direct
0.000 0.000 0.000
0.500 0.500 0.000
0.000 0.000 0.500
0.154 0.500 0.845
0.167 0.500 0.316
0.333 0.000 0.684
0.346 0.000 0.155
0.500 0.500 0.500
0.654 0.000 0.845
0.667 0.000 0.316
0.833 0.500 0.684
0.846 0.500 0.155
```

Energy above the most stable polymorph in this dataset in meV/atom: 0
E_tot in Ry per atom: -0.312
ΔH_f (0 K) in kJ/mol of formula units: 28
Space-group type: C2/m
Total moment in μB/cell: 0.00


5.
A plane-wave DFT calculation with PBEsol was carried out for a geometry-optimized Ni3Au structure.

POSCAR file:
```
Ni3Au
1.0
2.648 0.000 0.000
0.000 3.413 0.000
0.000 0.000 5.346
Ni Au
3 1
Direct
0.000 0.000 0.000
0.500 0.500 0.221
0.500 0.500 0.779
0.000 0.000 0.500
```

E_tot in Ry per atom: -0.405
ΔH_f (0 K) in kJ/mol of formula units: 36
Space-group type: Pmmm
Total moment in μB/cell: 1.65


6.
A plane-wave DFT calculation with PBEsol was carried out for a geometry-optimized NiAu structure.

POSCAR file:
```
NiAu
1.0
6.066 0.000 0.000
0.000 6.066 0.000
0.000 0.000 6.066
Ni Au
8 8
Direct
0.125 0.125 0.125
0.125 0.625 0.625
0.375 0.375 0.875
0.375 0.875 0.375
0.625 0.125 0.625
0.625 0.625 0.125
0.875 0.375 0.375
0.875 0.875 0.875
0.125 0.125 0.625
0.125 0.625 0.125
0.375 0.375 0.375
0.375 0.875 0.875
0.625 0.125 0.125
0.625 0.625 0.625
0.875 0.375 0.875
0.875 0.875 0.375
```

E_tot in Ry per atom: -0.355
ΔH_f (0 K) in kJ/mol of formula units: 41
Space-group type: Fd-3m
Total moment in μB/cell: 2.95


7.
A plane-wave DFT calculation with PBEsol was carried out for a geometry-optimized NiAu5 structure.

POSCAR file:
```
NiAu5
1.0
4.668 0.000 0.000
0.000 2.853 0.000
0.000 0.000 14.420
Ni Au
2 10
Direct
0.000 0.000 0.000
0.000 0.500 0.500
0.000 0.000 0.341
0.000 0.000 0.658
0.000 0.500 0.158
0.000 0.500 0.841
0.500 0.000 0.220
0.500 0.000 0.550
0.500 0.000 0.889
0.500 0.500 0.050
0.500 0.500 0.389
0.500 0.500 0.720
```

Energy above the most stable polymorph in this dataset in meV/atom: 27
E_tot in Ry per atom: -0.310
ΔH_f (0 K) in kJ/mol of formula units: 43
Space-group type: Amm2
Total moment in μB/cell: 0.00


8.
A plane-wave DFT calculation with PBEsol was carried out for a geometry-optimized NiAu structure.

POSCAR file:
```
NiAu
1.0
2.730 0.000 0.000
-1.365 2.364 0.000
0.000 0.000 8.725
Ni Au
2 2
Direct
0.333 0.667 0.397
0.667 0.333 0.603
0.333 0.667 0.853
0.667 0.333 0.147
```

E_tot in Ry per atom: -0.357
ΔH_f (0 K) in kJ/mol of formula units: 35
Space-group type: P-3m1
Total moment in μB/cell: 1.16